Entry 1:
## Nd8DyTm2 (PBE)

Data for crystalline Nd8DyTm2 at its relaxed geometry.

```
Nd8DyTm2
1.0
5.2199 -6.7820 0.0000
5.2199 6.7820 0.0000
0.0000 0.0000 5.4812
Nd Dy Tm
8 1 2
Direct
0.1649 0.1649 0.0000 Nd
0.1995 0.4693 0.5000 Nd
0.2468 0.7532 0.0000 Nd
0.4693 0.1995 0.5000 Nd
0.5307 0.8005 0.5000 Nd
0.7532 0.2468 0.0000 Nd
0.8005 0.5307 0.5000 Nd
0.8351 0.8351 0.0000 Nd
0.5000 0.5000 0.0000 Dy
0.1191 0.8809 0.5000 Tm
0.8809 0.1191 0.5000 Tm
```

SG: Cmmm, No. 65
Formation energy from the elements in eV per atom: 0.157
Distance to the lowest polymorph of the same formula in meV per atom: 0
ρ in g cm⁻³: 7.08


Entry 2:
## Nd2Dy7Tm (PBE)

Data for crystalline Nd2Dy7Tm at its relaxed geometry.

```
Nd2Dy7Tm
1.0
3.2519 -14.4114 0.0000
3.2519 14.4114 0.0000
0.0000 0.0000 3.5051
Nd Dy Tm
2 7 1
Direct
0.2074 0.7926 0.0000 Nd
0.7926 0.2074 0.0000 Nd
0.0000 0.0000 0.0000 Dy
0.1574 0.3519 0.0000 Dy
0.3154 0.6846 0.5000 Dy
0.3519 0.1574 0.0000 Dy
0.6481 0.8426 0.0000 Dy
0.6846 0.3154 0.5000 Dy
0.8426 0.6481 0.0000 Dy
0.5000 0.5000 0.5000 Tm
```

SG: Cmmm, No. 65
Formation energy from the elements in eV per atom: 0.155
Distance to the lowest polymorph of the same formula in meV per atom: 139
ρ in g cm⁻³: 8.06


Entry 3:
## Nd2Dy3Tm9 (PBE)

Data for crystalline Nd2Dy3Tm9 at its relaxed geometry.

```
Nd2Dy3Tm9
1.0
6.1934 0.0000 0.0000
0.4792 8.6482 0.0000
1.9974 1.4889 8.3333
Nd Dy Tm
2 3 9
Direct
0.0000 0.0000 0.0000 Nd
0.0968 0.0644 0.5880 Nd
0.2991 0.6470 0.0117 Dy
0.6215 0.0541 0.3546 Dy
0.8004 0.4055 0.5566 Dy
0.0636 0.2895 0.1966 Tm
0.0804 0.7837 0.3703 Tm
0.2131 0.3638 0.7908 Tm
0.3599 0.4234 0.3909 Tm
0.4640 0.7143 0.5963 Tm
0.5492 0.0250 0.7899 Tm
0.6421 0.3385 0.9966 Tm
0.7395 0.6548 0.1887 Tm
0.8971 0.6924 0.7810 Tm
```

SG: P1, No. 1
Formation energy from the elements in eV per atom: 0.118
ρ in g cm⁻³: 8.54


Entry 4:
## NdDyTm14 (PBE)

Data for crystalline NdDyTm14 at its relaxed geometry.

```
NdDyTm14
1.0
11.3134 0.0000 0.0000
0.0000 3.5263 6.0960
0.0000 -3.5263 6.0960
Nd Dy Tm
1 1 14
Direct
0.0000 0.0000 0.0000 Nd
0.0000 0.5002 0.5002 Dy
0.0000 0.0001 0.5004 Tm
0.0000 0.5004 0.0001 Tm
0.2508 0.6674 0.6674 Tm
0.2522 0.1676 0.1676 Tm
0.2531 0.1674 0.6665 Tm
0.2531 0.6665 0.1674 Tm
0.5000 0.3340 0.3340 Tm
0.5000 0.3344 0.8341 Tm
0.5000 0.8341 0.3344 Tm
0.5000 0.8339 0.8339 Tm
0.7469 0.1674 0.6665 Tm
0.7469 0.6665 0.1674 Tm
0.7478 0.1676 0.1676 Tm
0.7492 0.6674 0.6674 Tm
```

SG: Amm2, No. 38
Formation energy from the elements in eV per atom: 0.011
ρ in g cm⁻³: 9.12


Entry 5:
## Nd4Dy19Tm6 (PBE)

Data for crystalline Nd4Dy19Tm6 at its relaxed geometry.

```
Nd4Dy19Tm6
1.0
-6.2332 6.2332 6.2332
6.2332 -6.2332 6.2332
6.2332 6.2332 -6.2332
Nd Dy Tm
4 19 6
Direct
0.0000 0.0000 0.6414 Nd
0.0000 0.6414 0.0000 Nd
0.3586 0.3586 0.3586 Nd
0.6414 0.0000 0.0000 Nd
0.0000 0.0000 0.0000 Dy
0.0000 0.2640 0.2640 Dy
0.0000 0.7360 0.7360 Dy
0.0105 0.7960 0.3386 Dy
0.2040 0.2146 0.5426 Dy
0.2146 0.5426 0.2040 Dy
0.2640 0.0000 0.2640 Dy
0.2640 0.2640 0.0000 Dy
0.3281 0.7854 0.9895 Dy
0.3386 0.0105 0.7960 Dy
0.4574 0.6719 0.6614 Dy
0.5426 0.2040 0.2146 Dy
0.6614 0.4574 0.6719 Dy
0.6719 0.6614 0.4574 Dy
0.7360 0.0000 0.7360 Dy
0.7360 0.7360 0.0000 Dy
0.7854 0.9895 0.3281 Dy
0.7960 0.3386 0.0105 Dy
0.9895 0.3281 0.7854 Dy
0.1260 0.6260 0.5000 Tm
0.3740 0.5000 0.8740 Tm
0.5000 0.1260 0.6260 Tm
0.5000 0.8740 0.3740 Tm
0.6260 0.5000 0.1260 Tm
0.8740 0.3740 0.5000 Tm
```

SG: I23, No. 197
Formation energy from the elements in eV per atom: 0.397
ρ in g cm⁻³: 8.02


Entry 6:
## Nd5Dy4Tm2 (PBE)

Data for crystalline Nd5Dy4Tm2 at its relaxed geometry.

```
Nd5Dy4Tm2
1.0
-1.7607 4.5742 11.7841
1.7607 -4.5742 11.7841
1.7607 4.5742 -11.7841
Nd Dy Tm
5 4 2
Direct
0.0000 0.0000 0.0000 Nd
0.0542 0.3525 0.7017 Nd
0.3492 0.6475 0.7017 Nd
0.6508 0.3525 0.2983 Nd
0.9458 0.6475 0.2983 Nd
0.3117 0.5000 0.8117 Dy
0.4031 0.9031 0.5000 Dy
0.5969 0.0969 0.5000 Dy
0.6883 0.5000 0.1883 Dy
0.2699 0.7699 0.5000 Tm
0.7301 0.2301 0.5000 Tm
```

SG: Immm, No. 71
Formation energy from the elements in eV per atom: 0.210
Distance to the lowest polymorph of the same formula in meV per atom: 134
ρ in g cm⁻³: 7.48


Entry 7:
## Nd5Dy2Tm6 (PBE)

Data for crystalline Nd5Dy2Tm6 at its relaxed geometry.

```
Nd5Dy2Tm6
1.0
11.6072 0.0000 0.0000
0.0000 20.4557 0.0000
0.0000 0.0000 3.5811
Nd Dy Tm
10 4 12
Direct
0.0000 0.0000 0.0000 Nd
0.0827 0.2728 0.0000 Nd
0.1989 0.5500 0.0000 Nd
0.3011 0.0500 0.0000 Nd
0.4173 0.7728 0.0000 Nd
0.5000 0.5000 0.0000 Nd
0.5827 0.2272 0.0000 Nd
0.6989 0.9500 0.0000 Nd
0.8011 0.4500 0.0000 Nd
0.9173 0.7272 0.0000 Nd
0.1720 0.7110 0.5000 Dy
0.3280 0.2110 0.5000 Dy
0.6720 0.7890 0.5000 Dy
0.8280 0.2890 0.5000 Dy
0.0617 0.4188 0.5000 Tm
0.0794 0.1315 0.5000 Tm
0.1764 0.8625 0.0000 Tm
0.3236 0.3625 0.0000 Tm
0.4206 0.6315 0.5000 Tm
0.4383 0.9188 0.5000 Tm
0.5617 0.0812 0.5000 Tm
0.5794 0.3685 0.5000 Tm
0.6764 0.6375 0.0000 Tm
0.8236 0.1375 0.0000 Tm
0.9206 0.8685 0.5000 Tm
0.9383 0.5812 0.5000 Tm
```

SG: Pbam, No. 55
Formation energy from the elements in eV per atom: 0.096
ρ in g cm⁻³: 8.05


Entry 8:
## NdDy3Tm3 (PBE)

Data for crystalline NdDy3Tm3 at its relaxed geometry.

```
NdDy3Tm3
1.0
6.6724 -10.9195 0.0000
6.6724 10.9195 0.0000
-2.1392 0.0000 6.1825
Nd Dy Tm
4 12 12
Direct
0.0000 0.0000 0.0000 Nd
0.0000 0.1706 0.5997 Nd
0.1706 0.0000 0.5997 Nd
0.8290 0.8290 0.4300 Nd
0.9998 0.2810 0.1484 Dy
0.9997 0.4592 0.7742 Dy
0.2654 0.5321 0.5157 Dy
0.2664 0.7342 0.2501 Dy
0.2810 0.9998 0.1484 Dy
0.4592 0.9997 0.7742 Dy
0.4674 0.7331 0.9836 Dy
0.5321 0.2654 0.5157 Dy
0.5404 0.5404 0.3149 Dy
0.7185 0.7185 0.8676 Dy
0.7331 0.4674 0.9836 Dy
0.7342 0.2664 0.2501 Dy
0.9997 0.5360 0.2972 Tm
0.9997 0.7458 0.0713 Tm
0.1852 0.7495 0.7349 Tm
0.2501 0.4358 0.9853 Tm
0.2540 0.2540 0.3246 Tm
0.4358 0.2501 0.9853 Tm
0.4634 0.4634 0.7609 Tm
0.5360 0.9997 0.2972 Tm
0.5638 0.8142 0.5495 Tm
0.7458 0.9997 0.0713 Tm
0.7495 0.1852 0.7349 Tm
0.8142 0.5638 0.5495 Tm
```

SG: Cm, No. 8
Formation energy from the elements in eV per atom: 0.136
Distance to the lowest polymorph of the same formula in meV per atom: 126
ρ in g cm⁻³: 8.39


Entry 9:
## Nd4Dy5Tm (PBE)

Data for crystalline Nd4Dy5Tm at its relaxed geometry.

```
Nd4Dy5Tm
1.0
8.6038 -1.7687 0.0000
8.6038 1.7687 0.0000
-0.0289 0.0000 11.2383
Nd Dy Tm
4 5 1
Direct
0.0309 0.0309 0.2491 Nd
0.3430 0.3430 0.2503 Nd
0.6570 0.6570 0.7497 Nd
0.9691 0.9691 0.7509 Nd
0.1728 0.1728 0.0499 Dy
0.1735 0.1735 0.4480 Dy
0.5000 0.5000 0.5000 Dy
0.8265 0.8265 0.5520 Dy
0.8272 0.8272 0.9501 Dy
0.5000 0.5000 0.0000 Tm
```

SG: C2/m, No. 12
Formation energy from the elements in eV per atom: 0.187
Distance to the lowest polymorph of the same formula in meV per atom: 0
ρ in g cm⁻³: 7.57


Entry 10:
## Nd2Dy3Tm2 (PBE)

Data for crystalline Nd2Dy3Tm2 at its relaxed geometry.

```
Nd2Dy3Tm2
1.0
5.8906 -1.7844 0.0000
5.8906 1.7844 0.0000
-1.0442 0.0000 10.6471
Nd Dy Tm
2 3 2
Direct
0.2158 0.2158 0.3546 Nd
0.7842 0.7842 0.6454 Nd
0.3582 0.3582 0.9307 Dy
0.5000 0.5000 0.5000 Dy
0.6418 0.6418 0.0693 Dy
0.0697 0.0697 0.7884 Tm
0.9303 0.9303 0.2116 Tm
```

SG: C2/m, No. 12
Formation energy from the elements in eV per atom: 0.018
Distance to the lowest polymorph of the same formula in meV per atom: 0
ρ in g cm⁻³: 8.26


Entry 11:
## Nd12Dy5Tm2 (PBE)

Data for crystalline Nd12Dy5Tm2 at its relaxed geometry.

```
Nd12Dy5Tm2
1.0
8.9807 -5.8755 0.0000
8.9807 5.8755 0.0000
-1.3502 0.0000 6.0953
Nd Dy Tm
12 5 2
Direct
0.0466 0.5608 0.8019 Nd
0.0557 0.0557 0.2736 Nd
0.1478 0.6454 0.3829 Nd
0.3546 0.8522 0.6171 Nd
0.3812 0.3812 0.9959 Nd
0.4392 0.9534 0.1981 Nd
0.5608 0.0466 0.8019 Nd
0.6188 0.6188 0.0041 Nd
0.6454 0.1478 0.3829 Nd
0.8522 0.3546 0.6171 Nd
0.9443 0.9443 0.7264 Nd
0.9534 0.4392 0.1981 Nd
0.1776 0.1776 0.8594 Dy
0.2837 0.2837 0.4439 Dy
0.5000 0.5000 0.5000 Dy
0.7163 0.7163 0.5561 Dy
0.8224 0.8224 0.1406 Dy
0.2675 0.7325 0.0000 Tm
0.7325 0.2675 0.0000 Tm
```

SG: C2/m, No. 12
Formation energy from the elements in eV per atom: 0.099
Distance to the lowest polymorph of the same formula in meV per atom: 0
ρ in g cm⁻³: 7.44


Entry 12:
## Nd8Dy3Tm3 (PBE)

Data for crystalline Nd8Dy3Tm3 at its relaxed geometry.

```
Nd8Dy3Tm3
1.0
-2.8381 5.4488 7.5866
2.8381 -5.4488 7.5866
2.8381 5.4488 -7.5866
Nd Dy Tm
8 3 3
Direct
0.0593 0.3963 0.6630 Nd
0.0668 0.2243 0.8425 Nd
0.2667 0.6037 0.6630 Nd
0.3818 0.2243 0.1575 Nd
0.6182 0.7757 0.8425 Nd
0.7333 0.3963 0.3370 Nd
0.9332 0.7757 0.1575 Nd
0.9407 0.6037 0.3370 Nd
0.3208 0.8208 0.5000 Dy
0.5000 0.5000 0.0000 Dy
0.6792 0.1792 0.5000 Dy
0.0000 0.0000 0.0000 Tm
0.3018 0.0000 0.3018 Tm
0.6982 0.0000 0.6982 Tm
```

SG: Immm, No. 71
Formation energy from the elements in eV per atom: 0.108
ρ in g cm⁻³: 7.60